Below is a relaxed structure of KMoOs, with properties calculated at the PBE level.

The structure in CIF format:
```
data_KMoOs
_cell_length_a 4.441
_cell_length_b 4.441
_cell_length_c 4.441
_cell_angle_alpha 60.00
_cell_angle_beta 60.00
_cell_angle_gamma 60.00
_symmetry_space_group_name_H-M 'P 1'
_symmetry_Int_Tables_number 1
loop_
_symmetry_equiv_pos_as_xyz
'x,y,z'
loop_
_atom_site_label
_atom_site_fract_x
_atom_site_fract_y
_atom_site_fract_z
K1 0.000 0.000 0.000
Mo1 0.250 0.250 0.250
Os1 0.500 0.500 0.500
```

Properties
Space-group type   F-43m
DOS at the Fermi energy   3.0 states/eV/f.u.
E above lowest polymorph   0.932 eV/atom